[1]
An optimized crystal structure of Cu2Ru, computed with PBE.

It has space group Immm (No. 71), with a = 2.526 Å, b = 3.784 Å, c = 8.037 Å, α = 90.00°, β = 90.00° and γ = 90.00°. The inequivalent atoms are Cu at (0.000, 0.000, 0.169) and Ru at (0.000, 0.000, 0.500).

Its formation energy from the elements is 86 kJ/mol of formula units. Its electronic total energy is -5.524 eV/atom.

***

[2]
An optimized crystal structure of LiCa2Tb, computed with PBE.

It has space group P4/mmm (No. 123), with a = 4.063 Å, b = 4.063 Å, c = 8.131 Å, α = 90.00°, β = 90.00° and γ = 90.00°. The inequivalent atoms are Li at (0.000, 0.000, 0.000), Ca at (0.500, 0.500, 0.233) and Tb at (0.000, 0.000, 0.500).

Its formation energy from the elements is 39 kJ/mol of formula units. Its electronic total energy is -2.536 eV/atom.

***

[3]
An optimized crystal structure of Hf4ZrIn3, computed with PBE.

It has space group C2/m (No. 12), with a = 6.157 Å, b = 12.300 Å, c = 5.619 Å, α = 90.00°, β = 123.07° and γ = 90.00°. The inequivalent atoms are Hf at (0.000, 0.124, 0.000), Hf at (0.000, 0.251, 0.500), Zr at (0.000, 0.000, 0.500), In at (0.000, 0.371, 0.000) and In at (0.000, 0.500, 0.500).

Its formation energy from the elements is -72 kJ/mol of formula units. Its electronic total energy is -7.166 eV/atom.